The following is a PBE-GGA calculation of a relaxed La3Ge2Rh7 crystal, from the Alexandria database.

For the total energy, the calculation gives -0.2587 Ha/atom. As for the magnetic moment: 0.00 μB/cell.

It has space group R-3m (No. 166, hexagonal axes), with a = 5.5948 Å, b = 5.5948 Å, c = 24.6519 Å, α = 90.00°, β = 90.00° and γ = 120.00°. The distinct sites, in fractional coordinates, are La at (0.0000, 0.0000, 0.0000), La at (0.0000, 0.0000, 0.1407), Ge at (0.0000, 0.0000, 0.3332), Rh at (0.0000, 0.0000, 0.5000) and Rh at (0.0021, 0.5010, 0.0773).